(1)
The following is a GGA-PBE calculation of crystalline AgGeIr3 at its relaxed geometry, from Alexandria via LeMat-Bulk.

The calculated formation energy is 1.154 eV per atom.

Lattice parameters (Å, degrees): 4.569 4.569 4.569 90.00 90.00 90.00
Fractional positions:
Ge 0.000 0.000 0.000
Ir 0.000 0.500 0.000
Ir 0.000 0.000 0.500
Ir 0.500 0.000 0.000
Ag 0.500 0.500 0.500

***

(2)
The following is a GGA-PBE calculation of crystalline Cd3SiSe at its relaxed geometry, from Alexandria via LeMat-Bulk.

The raw formation energy is 0.71 eV per atom.

Lattice parameters (Å, degrees): 5.296 5.296 5.296 90.00 90.00 90.00
Fractional positions:
Si 0.500 0.500 0.500
Se 0.000 0.000 0.000
Cd 0.000 0.500 0.000
Cd 0.000 0.000 0.500
Cd 0.500 0.000 0.000